[1]
# PBE-GGA CeTl2GaSe4, relaxed
data_CeTl2GaSe4
_symmetry_space_group_name_H-M 'P 1'
_symmetry_Int_Tables_number 1
_symmetry_space_group_name_Hall 'P 1'
_cell_length_a 8.6649
_cell_length_b 8.6649
_cell_length_c 8.6151
_cell_angle_alpha 119.81
_cell_angle_beta 119.81
_cell_angle_gamma 90.64
loop_
_atom_site_label
_atom_site_type_symbol
_atom_site_fract_x
_atom_site_fract_y
_atom_site_fract_z
Tl1 Tl 0.5000 0.0000 0.0000
Ga1 Ga 0.0000 0.0000 0.0000
Tl2 Tl 0.5000 0.5000 0.0000
Se1 Se 0.2066 0.7393 0.9729
Se2 Se 0.2393 0.7066 0.4729
Ce1 Ce 0.0000 0.5000 0.0000
Ga2 Ga 0.5000 0.5000 0.5000
Se3 Se 0.7639 0.7361 0.5371
Ce2 Ce 0.0000 0.5000 0.5000
Se4 Se 0.2361 0.2639 0.4629
Se5 Se 0.7639 0.7361 0.9629
Tl3 Tl 0.5000 0.0000 0.5000
Se6 Se 0.7607 0.2934 0.5271
Se7 Se 0.7934 0.2607 0.0271
Se8 Se 0.2361 0.2639 0.0371
Tl4 Tl 0.0000 0.0000 0.5000
# * ΔE_f (raw): -0.82 eV per atom

[2]
# PBE-GGA CsNa2Tl2Cd2, relaxed
data_CsNa2Tl2Cd2
_symmetry_space_group_name_H-M 'P 1'
_symmetry_Int_Tables_number 1
_symmetry_space_group_name_Hall 'P 1'
_cell_length_a 5.3361
_cell_length_b 5.3298
_cell_length_c 10.5078
_cell_angle_alpha 105.01
_cell_angle_beta 90.00
_cell_angle_gamma 120.04
loop_
_atom_site_label
_atom_site_type_symbol
_atom_site_fract_x
_atom_site_fract_y
_atom_site_fract_z
Na1 Na 0.8627 0.7254 0.5876
Tl1 Tl 0.5587 0.1173 0.6740
Cd1 Cd 0.2438 0.4876 0.7282
Cd2 Cd 0.7562 0.5124 0.2718
Tl2 Tl 0.4413 0.8827 0.3260
Cs1 Cs 0.0000 0.0000 0.0000
Na2 Na 0.1373 0.2746 0.4124
# * energy of formation from the pure elements: -0.73 eV/f.u.

[3]
# PBE-GGA Nb2Sb, relaxed
data_Nb2Sb
_symmetry_space_group_name_H-M 'P 1'
_symmetry_Int_Tables_number 1
_symmetry_space_group_name_Hall 'P 1'
_cell_length_a 3.1248
_cell_length_b 6.9487
_cell_length_c 19.7620
_cell_angle_alpha 80.96
_cell_angle_beta 91.24
_cell_angle_gamma 82.04
loop_
_atom_site_label
_atom_site_type_symbol
_atom_site_fract_x
_atom_site_fract_y
_atom_site_fract_z
Sb1 Sb 0.6381 0.4348 0.8099
Nb1 Nb 0.2478 0.4941 0.4362
Nb2 Nb 0.3827 0.8068 0.1515
Sb2 Sb 0.1924 0.7148 0.9231
Sb3 Sb 0.6870 0.7477 0.5142
Nb3 Nb 0.0578 0.1201 0.4849
Nb4 Nb 0.6329 0.2753 0.3425
Nb5 Nb 0.9121 0.9690 0.0122
Nb6 Nb 0.5597 0.0432 0.8620
Sb4 Sb 0.3307 0.2285 0.0797
Nb7 Nb 0.1977 0.4292 0.1989
Nb8 Nb 0.6914 0.3379 0.5802
Nb9 Nb 0.8167 0.6502 0.2931
Sb5 Sb 0.2597 0.9056 0.3701
Nb10 Nb 0.7201 0.5883 0.0542
Nb11 Nb 0.5005 0.9611 0.6277
Nb12 Nb 0.1639 0.3185 0.9372
Sb6 Sb 0.8151 0.0644 0.2262
Sb7 Sb 0.1333 0.5887 0.6597
Nb13 Nb 0.1633 0.1813 0.7232
Nb14 Nb 0.9899 0.8065 0.7711
# * ΔE_f (raw): -0.03 eV per atom

[4]
# PBE-GGA Li2CeTm2Pb2, relaxed
data_Li2CeTm2Pb2
_symmetry_space_group_name_H-M 'P 1'
_symmetry_Int_Tables_number 1
_symmetry_space_group_name_Hall 'P 1'
_cell_length_a 4.8851
_cell_length_b 4.8851
_cell_length_c 9.2942
_cell_angle_alpha 74.76
_cell_angle_beta 74.76
_cell_angle_gamma 60.00
loop_
_atom_site_label
_atom_site_type_symbol
_atom_site_fract_x
_atom_site_fract_y
_atom_site_fract_z
Li1 Li 0.5820 0.5820 0.2541
Pb1 Pb 0.7396 0.7396 0.7813
Pb2 Pb 0.2604 0.2604 0.2187
Li2 Li 0.4180 0.4180 0.7459
Tm1 Tm 0.1312 0.1312 0.6065
Tm2 Tm 0.8688 0.8688 0.3935
Ce1 Ce 0.0000 0.0000 0.0000
# * energy of formation from the pure elements: -1.81 eV/f.u.

[5]
# PBE-GGA ZrTcMo2, relaxed
data_ZrTcMo2
_symmetry_space_group_name_H-M 'P 1'
_symmetry_Int_Tables_number 1
_symmetry_space_group_name_Hall 'P 1'
_cell_length_a 9.8399
_cell_length_b 9.8399
_cell_length_c 9.8399
_cell_angle_alpha 16.66
_cell_angle_beta 16.66
_cell_angle_gamma 16.66
loop_
_atom_site_label
_atom_site_type_symbol
_atom_site_fract_x
_atom_site_fract_y
_atom_site_fract_z
Zr1 Zr 0.7500 0.7500 0.7500
Mo1 Mo 0.5080 0.5080 0.5080
Tc1 Tc 0.2500 0.2500 0.2500
Mo2 Mo 0.9920 0.9920 0.9920
# * energy of formation from the pure elements: 1.20 eV/f.u.
# * excess energy over the best structure of this formula in the dataset: 0.420 eV/atom